Compound: Be2Nb2ZnRu5
Source: Alexandria via LeMat-Bulk
Functional: PBE
Structure: relaxed

Calculated values
Theoretical density, g/cm³: 9.52
Calculated formation energy, eV per atom: -0.235
E_tot, eV/atom: -7.760
Symmetry: P4/mbm

Unit cell a=9.2538 b=9.2538 c=3.1551 alpha=90.00 beta=90.00 gamma=90.00
Atoms (fractional coordinates):
Be (0.1240, 0.3760, 0.0000)
Be (0.3760, 0.8760, 0.0000)
Be (0.6240, 0.1240, 0.0000)
Be (0.8760, 0.6240, 0.0000)
Nb (0.1750, 0.6750, 0.0000)
Nb (0.3250, 0.1750, 0.0000)
Nb (0.6750, 0.8250, 0.0000)
Nb (0.8250, 0.3250, 0.0000)
Zn (0.0000, 0.0000, 0.0000)
Zn (0.5000, 0.5000, 0.0000)
Ru (0.0000, 0.5000, 0.5000)
Ru (0.0759, 0.2068, 0.5000)
Ru (0.2068, 0.9241, 0.5000)
Ru (0.2932, 0.4241, 0.5000)
Ru (0.4241, 0.7068, 0.5000)
Ru (0.5000, 0.0000, 0.5000)
Ru (0.5759, 0.2932, 0.5000)
Ru (0.7068, 0.5759, 0.5000)
Ru (0.7932, 0.0759, 0.5000)
Ru (0.9241, 0.7932, 0.5000)